No. 1
# Cs2PmCu2Te4, optimized geometry, DFT PBE-GGA
# Symmetry: No. 12
# Total magnetic moment (μB/atom): 0.000
# Raw formation energy (meV per atom): -847
# DOS(E_F) (states/eV per atom): 0.543
data_Cs2PmCu2Te4
_cell_length_a 8.477
_cell_length_b 8.477
_cell_length_c 9.136
_cell_angle_alpha 107.17
_cell_angle_beta 107.17
_cell_angle_gamma 29.98
_symmetry_space_group_name_H-M 'P 1'
_symmetry_Int_Tables_number 1
_symmetry_space_group_name_Hall 'P 1'
loop_
_atom_site_label
_atom_site_type_symbol
_atom_site_fract_x
_atom_site_fract_y
_atom_site_fract_z
Cs1 Cs 0.135 0.135 0.053
Cs2 Cs 0.865 0.865 0.947
Pm1 Pm 0.000 0.000 0.500
Cu1 Cu 0.324 0.324 0.517
Cu2 Cu 0.676 0.676 0.483
Te1 Te 0.202 0.202 0.659
Te2 Te 0.476 0.476 0.729
Te3 Te 0.524 0.524 0.271
Te4 Te 0.798 0.798 0.341



No. 2
# CsPm2CuTe4, optimized geometry, DFT PBE-GGA
# Symmetry: No. 63
# Total magnetic moment (μB/atom): 0.000
# Raw formation energy (meV per atom): -1170
data_CsPm2CuTe4
_cell_length_a 8.267
_cell_length_b 8.267
_cell_length_c 15.732
_cell_angle_alpha 90.00
_cell_angle_beta 90.00
_cell_angle_gamma 148.38
_symmetry_space_group_name_H-M 'P 1'
_symmetry_Int_Tables_number 1
_symmetry_space_group_name_Hall 'P 1'
loop_
_atom_site_label
_atom_site_type_symbol
_atom_site_fract_x
_atom_site_fract_y
_atom_site_fract_z
Cs1 Cs 0.108 0.892 0.750
Cs2 Cs 0.892 0.108 0.250
Pm1 Pm 0.366 0.634 0.562
Pm2 Pm 0.366 0.634 0.938
Pm3 Pm 0.634 0.366 0.062
Pm4 Pm 0.634 0.366 0.438
Cu1 Cu 0.164 0.836 0.250
Cu2 Cu 0.836 0.164 0.750
Te1 Te 0.000 0.000 0.000
Te2 Te 0.000 0.000 0.500
Te3 Te 0.261 0.739 0.112
Te4 Te 0.261 0.739 0.388
Te5 Te 0.425 0.575 0.750
Te6 Te 0.575 0.425 0.250
Te7 Te 0.739 0.261 0.612
Te8 Te 0.739 0.261 0.888



No. 3
# CsPrCuS2, optimized geometry, DFT PBE-GGA
# Symmetry: No. 13
# Total magnetic moment (μB/atom): 0.000
# Raw formation energy (meV per atom): -1089
# DOS(E_F) (states/eV per atom): 0.511
data_CsPrCuS2
_cell_length_a 8.124
_cell_length_b 4.808
_cell_length_c 8.266
_cell_angle_alpha 90.00
_cell_angle_beta 100.83
_cell_angle_gamma 90.00
_symmetry_space_group_name_H-M 'P 1'
_symmetry_Int_Tables_number 1
_symmetry_space_group_name_Hall 'P 1'
loop_
_atom_site_label
_atom_site_type_symbol
_atom_site_fract_x
_atom_site_fract_y
_atom_site_fract_z
Cs1 Cs 0.000 0.191 0.250
Cs2 Cs 0.000 0.809 0.750
Pr1 Pr 0.500 0.493 0.750
Pr2 Pr 0.500 0.507 0.250
Cu1 Cu 0.500 0.000 0.000
Cu2 Cu 0.500 0.000 0.500
S1 S 0.288 0.296 0.963
S2 S 0.288 0.704 0.463
S3 S 0.712 0.296 0.537
S4 S 0.712 0.704 0.037



No. 4
# Cs2PrCu2S4, optimized geometry, DFT PBE-GGA
# Symmetry: No. 12
# Total magnetic moment (μB/atom): 0.000
# Raw formation energy (meV per atom): -1094
# DOS(E_F) (states/eV per atom): 0.708
data_Cs2PrCu2S4
_cell_length_a 7.902
_cell_length_b 7.902
_cell_length_c 8.176
_cell_angle_alpha 108.03
_cell_angle_beta 108.03
_cell_angle_gamma 29.94
_symmetry_space_group_name_H-M 'P 1'
_symmetry_Int_Tables_number 1
_symmetry_space_group_name_Hall 'P 1'
loop_
_atom_site_label
_atom_site_type_symbol
_atom_site_fract_x
_atom_site_fract_y
_atom_site_fract_z
Cs1 Cs 0.137 0.137 0.061
Cs2 Cs 0.863 0.863 0.939
Pr1 Pr 0.000 0.000 0.500
Cu1 Cu 0.324 0.324 0.519
Cu2 Cu 0.676 0.676 0.481
S1 S 0.201 0.201 0.638
S2 S 0.475 0.475 0.724
S3 S 0.525 0.525 0.276
S4 S 0.799 0.799 0.362